Entry from Alexandria via LeMat-Bulk: a geometry-optimized Dy6ErTh structure (GGA-PBE).

polymorph energy (0 for the lowest one): 0.0000 eV/atom
VASP energy: -4.92 eV per atom

Geometry as POSCAR:
```
Dy6ErTh
1.0
5.023 0.000 0.000
0.000 5.023 0.000
0.000 0.000 9.972
Dy Er Th
6 1 1
Direct
0.500 0.000 0.251
0.000 0.500 0.749
0.000 0.500 0.251
0.500 0.500 0.000
0.500 0.000 0.749
0.500 0.500 0.500
0.000 0.000 0.000
0.000 0.000 0.500
```

=====

Entry from Alexandria via LeMat-Bulk: a geometry-optimized Dy3Er8Th4 structure (GGA-PBE).

VASP energy: -4.89 eV per atom

Geometry as POSCAR:
```
Dy3Er8Th4
1.0
-7.459 8.195 3.454
-1.555 -7.297 -5.473
5.422 -5.432 5.169
Th Er Dy
4 8 3
Direct
0.000 0.000 0.500
0.000 0.500 0.000
0.500 0.000 0.000
0.000 0.000 0.000
0.500 0.749 0.251
0.499 0.756 0.756
0.993 0.731 0.731
0.500 0.251 0.749
0.000 0.363 0.637
0.501 0.244 0.244
0.007 0.269 0.269
0.000 0.637 0.363
0.500 0.000 0.500
0.500 0.500 0.500
0.500 0.500 0.000
```

=====

Entry from Alexandria via LeMat-Bulk: a geometry-optimized DyEr4Th5 structure (GGA-PBE).

VASP energy: -5.78 eV per atom

Geometry as POSCAR:
```
DyEr4Th5
1.0
3.442 0.000 -0.750
0.036 8.361 0.165
0.637 0.306 11.196
Th Er Dy
5 4 1
Direct
0.886 0.324 0.772
0.765 0.662 0.530
0.114 0.676 0.228
0.500 0.500 0.000
0.235 0.338 0.470
0.679 0.990 0.358
0.321 0.010 0.642
0.909 0.746 0.817
0.091 0.254 0.183
0.500 0.000 0.000
```

=====

Entry from Alexandria via LeMat-Bulk: a geometry-optimized Dy6ErTh2 structure (GGA-PBE).

polymorph energy (0 for the lowest one): 0.0403 eV/atom
VASP energy: -5.15 eV per atom

Geometry as POSCAR:
```
Dy6ErTh2
1.0
-1.580 -2.463 -2.025
3.526 0.446 -0.168
3.150 -17.714 19.085
Dy Er Th
6 1 2
Direct
0.333 0.667 0.784
0.667 0.333 0.892
0.333 0.667 0.216
0.667 0.333 0.108
0.333 0.667 0.564
0.333 0.667 0.436
0.333 0.667 0.000
0.667 0.333 0.328
0.667 0.333 0.672
```